Entry 1:
A geometry-optimized LaNd4Er structure, computed with PBE-GGA.

Lattice parameters (Å, degrees): 3.4909 6.2336 10.3396 88.63 80.28 73.74
Last column: nearest neighbours and their distance in Å.
Atoms (fractional coordinates):
La1 0.5000 0.5000 0.5000  2 La 3.49, 8 Nd 3.54-3.71
Nd1 0.6550 0.5376 0.1524  6 Nd 3.49-3.62, 3 Er 3.54-3.65, 1 La 3.55
Nd2 0.3450 0.4624 0.8476  6 Nd 3.49-3.62, 3 Er 3.54-3.65, 1 La 3.55
Nd3 0.1546 0.0319 0.6589  1 Er 3.49, 6 Nd 3.49-3.69, 3 La 3.54-3.71
Nd4 0.8454 0.9681 0.3411  1 Er 3.49, 6 Nd 3.49-3.69, 3 La 3.54-3.71
Er1 0.0000 0.0000 0.0000  8 Nd 3.49-3.65, 2 Er 3.49

Results
The calculated volume comes out at 212.8 Å³ per cell. The energy of formation comes out at 174 meV per atom. For the mass density, the calculation gives 6.890 g/cm³. The calculation puts the energy above the lowest structure with this stoichiometry at 154 meV/atom.

---

Entry 2:
A geometry-optimized U2Ni9Au structure, computed with PBE-GGA.

Lattice parameters (Å, degrees): 4.8309 4.8309 8.5419 73.57 73.57 60.00
Last column: nearest neighbours and their distance in Å.
Atoms (fractional coordinates):
U1 0.8626 0.8626 0.4122  12 Ni 2.75-3.06
U2 0.1374 0.1374 0.5878  12 Ni 2.75-3.06
Ni1 0.6670 0.6670 0.9991  6 Ni 2.44-2.46
Ni2 0.3330 0.3330 0.0009  6 Ni 2.44-2.46
Ni3 0.5000 0.5000 0.5000  6 Ni 2.46
Ni4 0.4158 0.4158 0.2501  7 Ni 2.40-2.46
Ni5 0.9183 0.4158 0.2501  7 Ni 2.40-2.46
Ni6 0.4158 0.9183 0.2501  7 Ni 2.40-2.46
Ni7 0.5842 0.5842 0.7499  7 Ni 2.40-2.46
Ni8 0.5842 0.0817 0.7499  7 Ni 2.40-2.46
Ni9 0.0817 0.5842 0.7499  7 Ni 2.40-2.46
Au1 0.0000 0.0000 0.0000  6 Ni 2.79

Results
The calculated volume comes out at 163.2 Å³ per cell. The energy of formation comes out at -128 meV per atom. For the mass density, the calculation gives 12.224 g/cm³.

---

Entry 3:
A geometry-optimized HoThSb structure, computed with PBE-GGA.

Lattice parameters (Å, degrees): 3.9948 3.9948 6.2149 108.75 108.75 90.00
Last column: nearest neighbours and their distance in Å.
Atoms (fractional coordinates):
Sb1 0.2924 0.2924 0.5849  4 Ho 3.21, 4 Th 3.36
Ho1 0.9299 0.9299 0.8598  4 Sb 3.21, 5 Th 3.35-3.57
Th1 0.6277 0.6277 0.2553  5 Ho 3.35-3.57, 5 Sb 3.36-3.71

Results
The calculated volume comes out at 88.3 Å³ per cell. The uncorrected energy is -5.90 eV per atom. For the mass density, the calculation gives 9.750 g/cm³.

---

Entry 4:
A geometry-optimized BaTaOs structure, computed with PBE-GGA.

Lattice parameters (Å, degrees): 4.2759 4.2759 5.6099 90.00 90.00 120.00
Last column: nearest neighbours and their distance in Å.
Atoms (fractional coordinates):
Os1 0.3333 0.6667 0.4969  3 Ta 2.47
Ba1 0.0000 0.0000 0.0009  6 Os 3.72-3.75, 6 Ta 3.73-3.74
Ta1 0.6667 0.3333 0.5021  3 Os 2.47

Results
The calculated volume comes out at 88.8 Å³ per cell. The energy of formation comes out at 574 meV per atom. For the mass density, the calculation gives 9.506 g/cm³. The calculation puts the energy above the lowest structure with this stoichiometry at 148 meV/atom.

---

Entry 5:
A geometry-optimized PrZn2Ga3 structure, computed with PBE-GGA.

Lattice parameters (Å, degrees): 4.3617 8.6922 8.0064 54.50 74.19 75.47
Last column: nearest neighbours and their distance in Å.
Atoms (fractional coordinates):
Pr1 0.8507 0.0984 0.2002  7 Ga 3.04-3.40, 6 Zn 3.18-3.36
Pr2 0.1493 0.9016 0.7998  7 Ga 3.04-3.40, 6 Zn 3.18-3.36
Zn1 0.4836 0.1692 0.8637  1 Zn 2.44, 4 Ga 2.51-2.58
Zn2 0.5164 0.8308 0.1363  1 Zn 2.44, 4 Ga 2.51-2.58
Zn3 0.8212 0.6616 0.6960  7 Ga 2.58-2.85
Zn4 0.1788 0.3384 0.3040  7 Ga 2.58-2.85
Ga1 0.3213 0.4506 0.9068  4 Zn 2.57-2.72
Ga2 0.9930 0.3414 0.6727  1 Ga 2.53, 3 Zn 2.58-2.80
Ga3 0.6384 0.2064 0.5169  3 Zn 2.51-2.58
Ga4 0.3616 0.7936 0.4831  3 Zn 2.51-2.58
Ga5 0.0070 0.6586 0.3273  1 Ga 2.53, 3 Zn 2.58-2.80
Ga6 0.6787 0.5494 0.0932  4 Zn 2.57-2.72

Results
The calculated volume comes out at 236.1 Å³ per cell. The energy of formation comes out at -344 meV per atom. For the mass density, the calculation gives 6.765 g/cm³.

---

Entry 6:
A geometry-optimized CrNi4Pt structure, computed with PBE-GGA.

Lattice parameters (Å, degrees): 4.4429 4.4196 4.4495 80.91 60.04 71.54
Last column: nearest neighbours and their distance in Å.
Atoms (fractional coordinates):
Cr1 0.5000 0.0000 0.5000  10 Ni 2.54-2.58, 2 Pt 2.59
Ni1 0.3331 0.5000 0.8337  7 Ni 2.54-2.59, 2 Cr 2.56, 3 Pt 2.57
Ni2 0.6669 0.5000 0.1663  7 Ni 2.54-2.59, 2 Cr 2.56, 3 Pt 2.57
Ni3 0.1709 0.0000 0.1582  7 Ni 2.53-2.64, 3 Cr 2.54-2.58, 2 Pt 2.57
Ni4 0.8291 0.0000 0.8418  7 Ni 2.53-2.64, 3 Cr 2.54-2.58, 2 Pt 2.57
Pt1 0.0000 0.5000 0.5000  10 Ni 2.57, 2 Cr 2.59

Results
The calculated volume comes out at 71.8 Å³ per cell. The energy of formation comes out at -44 meV per atom. For the mass density, the calculation gives 11.143 g/cm³. The calculation puts the energy above the lowest structure with this stoichiometry at 0 meV/atom.